No. 1
The following is a PBE calculation of crystalline Mg2CdInHg at its relaxed geometry, from Alexandria.

Geometry as CIF:
```
data_Mg2CdInHg
_chemical_formula_sum 'Mg4 Cd2 In2 Hg2'
_space_group_name_H-M_alt 'P 1 21/m 1'
_space_group_IT_number 11
_space_group_name_Hall '-P 2yb'
_cell_length_a 7.2278
_cell_length_b 4.3713
_cell_length_c 7.2646
_cell_angle_alpha 90.00
_cell_angle_beta 97.98
_cell_angle_gamma 90.00
loop_
_atom_site_label
_atom_site_fract_x
_atom_site_fract_y
_atom_site_fract_z
Mg1 0.1489 0.2500 0.4588
Mg2 0.3475 0.2500 0.0385
Cd1 0.0523 0.7500 0.1495
In1 0.4452 0.7500 0.3437
Hg1 0.2406 0.7500 0.7536
```

## Properties
Calculated formation energy, eV/f.u.: -0.5
Spin magnetization, μB/cell: 0.00

No. 2
The following is a PBE calculation of crystalline BaTbY4Se8 at its relaxed geometry, from Alexandria.

Geometry as CIF:
```
data_BaTbY4Se8
_chemical_formula_sum 'Ba3 Tb3 Y12 Se24'
_space_group_name_H-M_alt 'R 3 m'
_space_group_IT_number 160
_space_group_name_Hall 'R 3 -2"'
_cell_length_a 8.6179
_cell_length_b 8.6179
_cell_length_c 21.1413
_cell_angle_alpha 90.00
_cell_angle_beta 90.00
_cell_angle_gamma 120.00
loop_
_atom_site_label
_atom_site_fract_x
_atom_site_fract_y
_atom_site_fract_z
Ba1 0.0000 0.0000 0.0000
Tb1 0.0000 0.0000 0.3730
Y1 0.0000 0.0000 0.7497
Y2 0.0039 0.5020 0.8752
Se1 0.0000 0.0000 0.1421
Se2 0.0000 0.0000 0.6174
Se3 0.0192 0.5096 0.1272
Se4 0.1894 0.3789 0.9520
```

## Properties
Formation energy without anion corrections, eV/atom: -1.7872
Spin magnetization, μB/cell: 0.00

No. 3
The following is a PBE calculation of crystalline Ce2Er4Pb3O2 at its relaxed geometry, from Alexandria.

Geometry as CIF:
```
data_Ce2Er4Pb3O2
_chemical_formula_sum 'Ce4 Er8 Pb6 O4'
_space_group_name_H-M_alt 'I 4/m m m'
_space_group_IT_number 139
_space_group_name_Hall '-I 4 2'
_cell_length_a 4.6688
_cell_length_b 4.6688
_cell_length_c 25.6248
_cell_angle_alpha 90.00
_cell_angle_beta 90.00
_cell_angle_gamma 90.00
loop_
_atom_site_label
_atom_site_fract_x
_atom_site_fract_y
_atom_site_fract_z
Ce1 0.0000 0.0000 0.1951
Er1 0.0000 0.5000 0.0825
Pb1 0.0000 0.0000 0.3263
Pb2 0.0000 0.0000 0.5000
O1 0.0000 0.0000 0.0940
```

## Properties
Formation energy without anion corrections, eV/atom: -1.3486
Spin magnetization, μB/cell: 5.83

No. 4
The following is a PBE calculation of crystalline PmThSnBi at its relaxed geometry, from Alexandria.

Geometry as CIF:
```
data_PmThSnBi
_chemical_formula_sum 'Pm4 Th4 Sn4 Bi4'
_space_group_name_H-M_alt 'F -4 3 m'
_space_group_IT_number 216
_space_group_name_Hall 'F -4 2 3'
_cell_length_a 7.8311
_cell_length_b 7.8311
_cell_length_c 7.8311
_cell_angle_alpha 90.00
_cell_angle_beta 90.00
_cell_angle_gamma 90.00
loop_
_atom_site_label
_atom_site_fract_x
_atom_site_fract_y
_atom_site_fract_z
Pm1 0.0000 0.0000 0.0000
Th1 0.0000 0.0000 0.5000
Sn1 0.2500 0.2500 0.7500
Bi1 0.2500 0.2500 0.2500
```

## Properties
Calculated formation energy, eV/f.u.: -2.0
Spin magnetization, μB/cell: 0.00

No. 5
The following is a PBE calculation of crystalline RbSb2AuSe4 at its relaxed geometry, from Alexandria.

Geometry as CIF:
```
data_RbSb2AuSe4
_chemical_formula_sum 'Rb4 Sb8 Au4 Se16'
_space_group_name_H-M_alt 'C m c m'
_space_group_IT_number 63
_space_group_name_Hall '-C 2c 2'
_cell_length_a 4.4213
_cell_length_b 13.4640
_cell_length_c 16.1412
_cell_angle_alpha 90.00
_cell_angle_beta 90.00
_cell_angle_gamma 90.00
loop_
_atom_site_label
_atom_site_fract_x
_atom_site_fract_y
_atom_site_fract_z
Rb1 0.0000 0.1240 0.2500
Sb1 0.0000 0.3659 0.0535
Au1 0.0000 0.1486 0.7500
Se1 0.0000 0.0000 0.0000
Se2 0.0000 0.2674 0.5948
Se3 0.0000 0.4240 0.2500
```

## Properties
Formation energy without anion corrections, eV/atom: -0.3732
Spin magnetization, μB/cell: 0.00

No. 6
The following is a PBE calculation of crystalline LaTa2Mo at its relaxed geometry, from Alexandria.

Geometry as CIF:
```
data_LaTa2Mo
_chemical_formula_sum 'La2 Ta4 Mo2'
_space_group_name_H-M_alt 'C 1 m 1'
_space_group_IT_number 8
_space_group_name_Hall 'C -2y'
_cell_length_a 10.7293
_cell_length_b 3.3465
_cell_length_c 5.0445
_cell_angle_alpha 90.00
_cell_angle_beta 116.69
_cell_angle_gamma 90.00
loop_
_atom_site_label
_atom_site_fract_x
_atom_site_fract_y
_atom_site_fract_z
La1 0.0000 0.0000 0.0000
Ta1 0.0351 0.5000 0.5336
Ta2 0.2611 0.5000 0.2618
Mo1 0.2503 0.0000 0.7397
```

## Properties
Calculated formation energy, eV/f.u.: 2.0
Relative energy among the computed polymorphs, eV per atom: 0.2956
Spin magnetization, μB/cell: 0.00

No. 7
The following is a PBE calculation of crystalline CsLaHo4S8 at its relaxed geometry, from Alexandria.

Geometry as CIF:
```
data_CsLaHo4S8
_chemical_formula_sum 'Cs3 La3 Ho12 S24'
_space_group_name_H-M_alt 'R 3 m'
_space_group_IT_number 160
_space_group_name_Hall 'R 3 -2"'
_cell_length_a 8.2568
_cell_length_b 8.2568
_cell_length_c 21.1914
_cell_angle_alpha 90.00
_cell_angle_beta 90.00
_cell_angle_gamma 120.00
loop_
_atom_site_label
_atom_site_fract_x
_atom_site_fract_y
_atom_site_fract_z
Cs1 0.0000 0.0000 0.0000
La1 0.0000 0.0000 0.6387
Ho1 0.0000 0.0000 0.2588
Ho2 0.1720 0.3439 0.4650
S1 0.0000 0.0000 0.3894
S2 0.0000 0.0000 0.8588
S3 0.0488 0.5244 0.3958
S4 0.1728 0.3455 0.2123
```

## Properties
Formation energy without anion corrections, eV/atom: -1.8787
Spin magnetization, μB/cell: 0.00

No. 8
The following is a PBE calculation of crystalline Rb2PtI at its relaxed geometry, from Alexandria.

Geometry as CIF:
```
data_Rb2PtI
_chemical_formula_sum 'Rb8 Pt4 I4'
_space_group_name_H-M_alt 'F m -3 m'
_space_group_IT_number 225
_space_group_name_Hall '-F 4 2 3'
_cell_length_a 8.6182
_cell_length_b 8.6182
_cell_length_c 8.6182
_cell_angle_alpha 90.00
_cell_angle_beta 90.00
_cell_angle_gamma 90.00
loop_
_atom_site_label
_atom_site_fract_x
_atom_site_fract_y
_atom_site_fract_z
Rb1 0.2500 0.2500 0.2500
Pt1 0.0000 0.0000 0.0000
I1 0.0000 0.0000 0.5000
```

## Properties
Formation energy without anion corrections, eV/atom: -0.2307
Spin magnetization, μB/cell: 4.00

Number 1: VASP energy -15.25 eV per cell. Number 2: VASP energy -255.92 eV per cell. Number 3: VASP energy -131.99 eV per cell. Number 4: VASP energy -88.33 eV per cell. Number 5: VASP energy -117.65 eV per cell. Number 6: VASP energy -74.91 eV per cell. Number 7: VASP energy -250.24 eV per cell. Number 8: VASP energy -41.79 eV per cell.